[1]
Here is a relaxed structure of Cu4TeI2Br from Alexandria. Energies are from GGA-PBE.

a b c (Å): 8.403 8.410 11.993
angles (deg): 90.00 90.00 90.00
Space group Fmm2 (No. 42)
Inequivalent atoms, fractional coordinates:
Cu1 0.000 0.248 0.000 (multiplicity 8)
Cu2 0.248 0.000 0.234 (multiplicity 8)
Te1 0.000 0.000 0.117 (multiplicity 4)
I1 0.250 0.250 0.367 (multiplicity 8)
Br1 0.000 0.000 0.617 (multiplicity 4)

Results
For the energy relative to the elements, uncorrected, the calculation gives -0.1166 eV per atom. As for the raw total energy: -3.1541 eV per atom.


[2]
Here is a relaxed structure of ScTiRe from Alexandria. Energies are from GGA-PBE.

a b c (Å): 3.019 4.815 7.843
angles (deg): 90.00 90.00 90.00
Space group Pmmn (No. 59, origin choice 2)
Inequivalent atoms, fractional coordinates:
Sc1 0.250 0.250 0.091 (multiplicity 2)
Ti1 0.250 0.750 0.295 (multiplicity 2)
Re1 0.250 0.250 0.449 (multiplicity 2)

Results
The formation energy is 0.92 eV/f.u. The value obtained for the energy relative to the lowest polymorph listed for this composition is 516 meV/atom. As for the raw total energy: -8.5843 eV per atom.


[3]
Here is a relaxed structure of AgPRu2 from Alexandria. Energies are from GGA-PBE.

a b c (Å): 2.837 4.465 4.699
angles (deg): 90.00 90.00 90.00
Space group Pmmm (No. 47)
Inequivalent atoms, fractional coordinates:
Ag1 0.000 0.000 0.000 (multiplicity 1)
P1 0.500 0.000 0.500 (multiplicity 1)
Ru1 0.000 0.500 0.500 (multiplicity 1)
Ru2 0.500 0.500 0.000 (multiplicity 1)

Results
The formation energy is 2.39 eV/f.u. The value obtained for the energy relative to the lowest polymorph listed for this composition is 620 meV/atom. As for the raw total energy: -6.1068 eV per atom.


[4]
Here is a relaxed structure of BeSi2Ir from Alexandria. Energies are from GGA-PBE.

a b c (Å): 5.569 5.569 9.464
angles (deg): 90.00 90.00 90.00
Space group I-42d (No. 122)
Inequivalent atoms, fractional coordinates:
Be1 0.000 0.000 0.000 (multiplicity 4)
Si1 0.246 0.250 0.125 (multiplicity 8)
Ir1 0.000 0.000 0.500 (multiplicity 4)

Results
For the energy relative to the elements, uncorrected, the calculation gives 0.3635 eV per atom. As for the raw total energy: -5.4948 eV per atom.


[5]
Here is a relaxed structure of Nd3Y6Ho2Pu from Alexandria. Energies are from GGA-PBE.

a b c (Å): 6.203 10.747 11.796
angles (deg): 90.00 100.11 90.00
Space group C2/m (No. 12)
Inequivalent atoms, fractional coordinates:
Nd1 0.000 0.000 0.000 (multiplicity 2)
Nd2 0.000 0.333 0.000 (multiplicity 4)
Y1 0.246 0.335 0.745 (multiplicity 8)
Y2 0.248 0.500 0.255 (multiplicity 4)
Ho1 0.000 0.167 0.500 (multiplicity 4)
Pu1 0.000 0.500 0.500 (multiplicity 2)

Results
The formation energy is 0.55 eV/f.u. As for the raw total energy: -6.3355 eV per atom.


[6]
Here is a relaxed structure of TiHO3 from Alexandria. Energies are from GGA-PBE.

a b c (Å): 3.828 3.828 3.828
angles (deg): 90.00 90.00 90.00
Space group Pm-3m (No. 221)
Inequivalent atoms, fractional coordinates:
Ti1 0.000 0.000 0.000 (multiplicity 1)
H1 0.500 0.500 0.500 (multiplicity 1)
O1 0.000 0.000 0.500 (multiplicity 3)

Results
As for the raw total energy: -6.1536 eV per atom.


[7]
Here is a relaxed structure of Ce12ThOs7 from Alexandria. Energies are from GGA-PBE.

a b c (Å): 14.2032 14.2032 9.8468
angles (deg): 90.00 90.00 120.00
Space group R-3 (No. 148, hexagonal axes)
Inequivalent atoms, fractional coordinates:
Ce1 0.0261 0.4384 0.1650 (multiplicity 18)
Ce2 0.0449 0.8696 0.8334 (multiplicity 18)
Th1 0.0000 0.0000 0.5000 (multiplicity 3)
Os1 0.0000 0.0000 0.0000 (multiplicity 3)
Os2 0.0401 0.8502 0.3266 (multiplicity 18)

Results
The formation energy is -1.47 eV/f.u. As for the raw total energy: -7.9352 eV per atom.


[8]
Here is a relaxed structure of HfHg2PIr from Alexandria. Energies are from GGA-PBE.

a b c (Å): 4.991 4.991 4.356
angles (deg): 90.00 90.00 90.00
Space group P4/mmm (No. 123)
Inequivalent atoms, fractional coordinates:
Hf1 0.000 0.000 0.000 (multiplicity 1)
Hg1 0.000 0.500 0.500 (multiplicity 2)
P1 0.500 0.500 0.500 (multiplicity 1)
Ir1 0.500 0.500 0.000 (multiplicity 1)

Results
The formation energy is 3.17 eV/f.u. As for the raw total energy: -4.3310 eV per atom.


[9]
Here is a relaxed structure of Dy2TlRh3 from Alexandria. Energies are from GGA-PBE.

a b c (Å): 4.7692 4.7692 11.6911
angles (deg): 90.00 90.00 120.00
Space group P-3m1 (No. 164)
Inequivalent atoms, fractional coordinates:
Dy1 0.0000 0.0000 0.0000 (multiplicity 1)
Dy2 0.0000 0.0000 0.5000 (multiplicity 1)
Dy3 0.3333 0.6667 0.1779 (multiplicity 2)
Tl1 0.3333 0.6667 0.6661 (multiplicity 2)
Rh1 0.0000 0.0000 0.2478 (multiplicity 2)
Rh2 0.3333 0.6667 0.4214 (multiplicity 2)
Rh3 0.3333 0.6667 0.9185 (multiplicity 2)

Results
The formation energy is -3.95 eV/f.u. The value obtained for the energy relative to the lowest polymorph listed for this composition is 0 meV/atom. As for the raw total energy: -6.2618 eV per atom.


[10]
Here is a relaxed structure of TlReCl2 from Alexandria. Energies are from GGA-PBE.

a b c (Å): 7.009 9.057 3.283
angles (deg): 90.00 117.48 90.00
Space group C2/m (No. 12)
Inequivalent atoms, fractional coordinates:
Tl1 0.000 0.000 0.000 (multiplicity 2)
Re1 0.000 0.500 0.000 (multiplicity 2)
Cl1 0.250 0.250 0.500 (multiplicity 4)

Results
For the energy relative to the elements, uncorrected, the calculation gives 0.7694 eV per atom. The value obtained for the energy relative to the lowest polymorph listed for this composition is 677 meV/atom. As for the raw total energy: -3.8575 eV per atom.


[11]
Here is a relaxed structure of LiInPb from Alexandria. Energies are from GGA-PBE.

a b c (Å): 5.617 3.491 7.699
angles (deg): 90.00 94.77 90.00
Space group Pm (No. 6)
Inequivalent atoms, fractional coordinates:
Li1 0.000 0.000 0.000 (multiplicity 1)
Li2 0.426 0.000 0.633 (multiplicity 1)
In1 0.221 0.500 0.323 (multiplicity 1)
In2 0.952 0.500 0.679 (multiplicity 1)
Pb1 0.479 0.500 0.960 (multiplicity 1)
Pb2 0.726 0.000 0.326 (multiplicity 1)

Results
The formation energy is -0.42 eV/f.u. As for the raw total energy: -2.9276 eV per atom.


[12]
Here is a relaxed structure of MgMn2Ga from Alexandria. Energies are from GGA-PBE.

a b c (Å): 6.379 6.379 6.379
angles (deg): 90.00 90.00 90.00
Space group Fm-3m (No. 225)
Inequivalent atoms, fractional coordinates:
Mg1 0.000 0.000 0.000 (multiplicity 4)
Mn1 0.250 0.250 0.250 (multiplicity 8)
Ga1 0.000 0.000 0.500 (multiplicity 4)

Results
The formation energy is 0.39 eV/f.u. The value obtained for the energy relative to the lowest polymorph listed for this composition is 53 meV/atom. As for the raw total energy: -5.6433 eV per atom.


[13]
Here is a relaxed structure of HfBe6Cu6 from Alexandria. Energies are from GGA-PBE.

a b c (Å): 4.436 7.911 7.921
angles (deg): 90.00 90.00 90.00
Space group Immm (No. 71)
Inequivalent atoms, fractional coordinates:
Hf1 0.000 0.000 0.000 (multiplicity 2)
Be1 0.000 0.500 0.269 (multiplicity 4)
Be2 0.250 0.250 0.250 (multiplicity 8)
Cu1 0.000 0.000 0.346 (multiplicity 4)
Cu2 0.000 0.303 0.500 (multiplicity 4)
Cu3 0.000 0.348 0.000 (multiplicity 4)

Results
The formation energy is -2.08 eV/f.u. As for the raw total energy: -4.5359 eV per atom.


[14]
Here is a relaxed structure of NpTcPd from Alexandria. Energies are from GGA-PBE.

a b c (Å): 2.980 4.538 8.236
angles (deg): 90.00 90.00 90.00
Space group Pmmn (No. 59, origin choice 2)
Inequivalent atoms, fractional coordinates:
Np1 0.250 0.250 0.233 (multiplicity 2)
Tc1 0.250 0.750 0.051 (multiplicity 2)
Pd1 0.250 0.750 0.430 (multiplicity 2)

Results
The formation energy is 0.57 eV/f.u. The value obtained for the energy relative to the lowest polymorph listed for this composition is 67 meV/atom. As for the raw total energy: -9.3093 eV per atom.


[15]
Here is a relaxed structure of CaGa4Cu2Au from Alexandria. Energies are from GGA-PBE.

a b c (Å): 4.2320 4.2320 28.1350
angles (deg): 90.00 90.00 120.00
Space group R-3m (No. 166, hexagonal axes)
Inequivalent atoms, fractional coordinates:
Ca1 0.0000 0.0000 0.0000 (multiplicity 3)
Ga1 0.0000 0.0000 0.1214 (multiplicity 6)
Ga2 0.0000 0.0000 0.4004 (multiplicity 6)
Cu1 0.0000 0.0000 0.2487 (multiplicity 6)
Au1 0.0000 0.0000 0.5000 (multiplicity 3)

Results
The formation energy is -1.83 eV/f.u. As for the raw total energy: -3.4264 eV per atom.


[16]
Here is a relaxed structure of La8Sm3Er3 from Alexandria. Energies are from GGA-PBE.

a b c (Å): 5.749 11.044 15.393
angles (deg): 90.00 90.00 90.00
Space group Immm (No. 71)
Inequivalent atoms, fractional coordinates:
La1 0.000 0.158 0.227 (multiplicity 8)
La2 0.000 0.337 0.394 (multiplicity 8)
Sm1 0.000 0.000 0.500 (multiplicity 2)
Sm2 0.000 0.500 0.177 (multiplicity 4)
Er1 0.000 0.000 0.000 (multiplicity 2)
Er2 0.000 0.301 0.000 (multiplicity 4)

Results
The formation energy is 1.30 eV/f.u. As for the raw total energy: -4.7119 eV per atom.


[17]
Here is a relaxed structure of Ba2In12CuPt3 from Alexandria. Energies are from GGA-PBE.

a b c (Å): 10.0817 10.0817 19.7662
angles (deg): 90.00 90.00 120.00
Space group R-3m (No. 166, hexagonal axes)
Inequivalent atoms, fractional coordinates:
Ba1 0.0000 0.0000 0.1070 (multiplicity 6)
In1 0.0171 0.5086 0.1358 (multiplicity 18)
In2 0.0736 0.5368 0.3151 (multiplicity 18)
Cu1 0.0000 0.0000 0.5000 (multiplicity 3)
Pt1 0.0000 0.5000 0.0000 (multiplicity 9)

Results
The formation energy is -2.67 eV/f.u. As for the raw total energy: -3.4220 eV per atom.


[18]
Here is a relaxed structure of Nd6HoCd5 from Alexandria. Energies are from GGA-PBE.

a b c (Å): 5.451 7.820 16.489
angles (deg): 90.00 90.00 90.00
Space group Immm (No. 71)
Inequivalent atoms, fractional coordinates:
Nd1 0.000 0.234 0.000 (multiplicity 4)
Nd2 0.000 0.256 0.329 (multiplicity 8)
Ho1 0.000 0.000 0.500 (multiplicity 2)
Cd1 0.000 0.000 0.168 (multiplicity 4)
Cd2 0.000 0.500 0.155 (multiplicity 4)
Cd3 0.000 0.500 0.500 (multiplicity 2)

Results
The formation energy is -2.73 eV/f.u. As for the raw total energy: -3.3746 eV per atom.


[19]
Here is a relaxed structure of ReRu from Alexandria. Energies are from GGA-PBE.

a b c (Å): 4.778 4.359 5.526
angles (deg): 90.00 90.00 90.00
Space group Pnma (No. 62)
Inequivalent atoms, fractional coordinates:
Re1 0.083 0.250 0.124 (multiplicity 4)
Ru1 0.085 0.250 0.626 (multiplicity 4)

Results
The formation energy is -0.15 eV/f.u. As for the raw total energy: -10.9390 eV per atom.


[20]
Here is a relaxed structure of BeCdCoSe2 from Alexandria. Energies are from GGA-PBE.

a b c (Å): 4.708 4.708 4.095
angles (deg): 90.00 90.00 90.00
Space group P4/mmm (No. 123)
Inequivalent atoms, fractional coordinates:
Be1 0.000 0.000 0.000 (multiplicity 1)
Cd1 0.500 0.500 0.500 (multiplicity 1)
Co1 0.000 0.000 0.500 (multiplicity 1)
Se1 0.000 0.500 0.000 (multiplicity 2)

Results
For the energy relative to the elements, uncorrected, the calculation gives 0.4507 eV per atom. As for the raw total energy: -3.2925 eV per atom.


[21]
Here is a relaxed structure of PaCd4Pd2 from Alexandria. Energies are from GGA-PBE.

a b c (Å): 4.566 3.475 9.424
angles (deg): 90.00 99.48 90.00
Space group P2/m (No. 10)
Inequivalent atoms, fractional coordinates:
Pa1 0.000 0.000 0.000 (multiplicity 1)
Cd1 0.191 0.500 0.317 (multiplicity 2)
Cd2 0.286 0.000 0.610 (multiplicity 2)
Pd1 0.366 0.500 0.863 (multiplicity 2)

Results
The formation energy is -1.56 eV/f.u. As for the raw total energy: -3.5859 eV per atom.


[22]
Here is a relaxed structure of Na2ZnPb from Alexandria. Energies are from GGA-PBE.

a b c (Å): 8.634 8.634 5.980
angles (deg): 90.00 90.00 90.00
Space group I-42d (No. 122)
Inequivalent atoms, fractional coordinates:
Na1 0.223 0.750 0.125 (multiplicity 8)
Zn1 0.000 0.000 0.000 (multiplicity 4)
Pb1 0.000 0.000 0.500 (multiplicity 4)

Results
The formation energy is 0.39 eV/f.u. As for the raw total energy: -1.8087 eV per atom.


[23]
Here is a relaxed structure of Th2InAu from Alexandria. Energies are from GGA-PBE.

a b c (Å): 3.471 3.471 8.910
angles (deg): 90.00 90.00 90.00
Space group P4/mmm (No. 123)
Inequivalent atoms, fractional coordinates:
Th1 0.000 0.000 0.234 (multiplicity 2)
In1 0.500 0.500 0.500 (multiplicity 1)
Au1 0.500 0.500 0.000 (multiplicity 1)

Results
The formation energy is -1.76 eV/f.u. The value obtained for the energy relative to the lowest polymorph listed for this composition is 0 meV/atom. As for the raw total energy: -5.6534 eV per atom.


[24]
Here is a relaxed structure of Sr2PrSn3Pt4 from Alexandria. Energies are from GGA-PBE.

a b c (Å): 4.733 4.733 11.212
angles (deg): 90.00 90.00 90.00
Space group P-4m2 (No. 115)
Inequivalent atoms, fractional coordinates:
Sr1 0.000 0.500 0.224 (multiplicity 2)
Pr1 0.000 0.000 0.500 (multiplicity 1)
Sn1 0.000 0.500 0.883 (multiplicity 2)
Sn2 0.500 0.500 0.500 (multiplicity 1)
Pt1 0.000 0.000 0.000 (multiplicity 1)
Pt2 0.000 0.500 0.648 (multiplicity 2)
Pt3 0.500 0.500 0.000 (multiplicity 1)

Results
The formation energy is -8.40 eV/f.u. As for the raw total energy: -5.2716 eV per atom.